This record from the Alexandria database describes a relaxed AlTcW2 crystal. The functional is GGA-PBE. Values from VASP.

## Properties
* calculated volume: 61.5 Å³/cell
* energy of formation: 0.026 eV/atom
* D(E_F): 2.6 states/eV per cell

Geometry as Quantum ESPRESSO input:
```
&SYSTEM
  ibrav = 0, nat = 4, ntyp = 3
/
ATOMIC_SPECIES
Al 26.98 Al.upf
Tc 98.00 Tc.upf
W 183.84 W.upf
CELL_PARAMETERS angstrom
2.800 0.000 0.000
0.000 4.156 0.000
0.000 0.000 5.288
ATOMIC_POSITIONS angstrom
Al 0.000 0.000 0.000
Tc 0.000 0.000 2.644
W 1.400 2.078 1.322
W 1.400 2.078 3.966
```